# 1
This record from Alexandria describes ThAl2Au2 after structural relaxation. The functional is PBE-GGA.

Properties
Formation enthalpy at 0 K ... -0.701 eV/atom
Total magnetization ... 0.00 μB/f.u.
Volume ... 204.2 Å³/cell
Uncorrected energy ... -4.9933 eV/atom
Crystal system ... tetragonal

Lattice parameters (Å, degrees): 4.4232 4.4232 10.4381 90.00 90.00 90.00
Last column: nearest neighbours and their distance in Å.
Atoms (fractional coordinates):
Au: 0.0000 0.5000 0.6285  5 Al 2.50-2.59
Au: 0.5000 0.0000 0.3715  5 Al 2.50-2.59
Au: 0.0000 0.0000 0.0000  4 Al 2.61
Au: 0.5000 0.5000 0.0000  4 Al 2.61
Al: 0.0000 0.0000 0.5000  4 Au 2.59
Al: 0.5000 0.0000 0.1319  5 Au 2.50-2.61
Al: 0.5000 0.5000 0.5000  4 Au 2.59
Al: 0.0000 0.5000 0.8681  5 Au 2.50-2.61
Th: 0.0000 0.5000 0.2485  8 Al 3.36-3.43, 8 Au 3.38-3.41
Th: 0.5000 0.0000 0.7515  8 Al 3.36-3.43, 8 Au 3.38-3.41



# 2
This record from Alexandria describes Ac7GaSn4 after structural relaxation. The functional is PBE-GGA.

Properties
Formation enthalpy at 0 K ... -0.390 eV/atom
Total magnetization ... 0.00 μB/f.u.
Volume ... 475.1 Å³/cell
Uncorrected energy ... -4.3727 eV/atom
Crystal system ... monoclinic

Lattice parameters (Å, degrees): 5.9001 10.1142 8.8849 78.30 70.61 73.04
Last column: nearest neighbours and their distance in Å.
Atoms (fractional coordinates):
Ac: 0.0758 0.6917 0.1567  1 Ga 3.12
Ac: 0.9242 0.3083 0.8433  1 Ga 3.12
Ac: 0.2112 0.1341 0.4436  4 Sn 3.34-3.54
Ac: 0.3514 0.5659 0.7312  5 Sn 3.40-3.57
Ac: 0.7888 0.8659 0.5564  4 Sn 3.34-3.54
Ac: 0.6486 0.4341 0.2688  5 Sn 3.40-3.57
Ac: 0.5000 0.0000 0.0000  2 Ga 2.95
Sn: 0.2822 0.3407 0.0949  8 Ac 3.34-3.66
Sn: 0.5789 0.2204 0.6218  8 Ac 3.40-3.64
Sn: 0.4211 0.7796 0.3782  8 Ac 3.40-3.64
Sn: 0.7178 0.6593 0.9051  8 Ac 3.34-3.66
Ga: 0.0000 0.0000 0.0000  4 Ac 2.95-3.12



# 3
This record from Alexandria describes Ho6Mg2Cd after structural relaxation. The functional is PBE-GGA.

Properties
Formation enthalpy at 0 K ... -0.048 eV/atom
Total magnetization ... 0.00 μB/f.u.
Volume ... 513.6 Å³/cell
Uncorrected energy ... -3.5562 eV/atom
Crystal system ... tetragonal

Lattice parameters (Å, degrees): 5.1285 10.0075 10.0079 90.00 90.00 90.00
Last column: nearest neighbours and their distance in Å.
Atoms (fractional coordinates):
Ho: 0.5000 0.8712 0.3713  2 Cd 3.15, 2 Mg 3.32
Ho: 0.5000 0.5202 0.3260  3 Mg 3.25-3.37, 1 Cd 3.27, 8 Ho 3.51-3.57
Ho: 0.5001 0.8259 0.0202  3 Mg 3.25-3.37, 1 Cd 3.27, 8 Ho 3.51-3.57
Ho: 0.0001 0.6740 0.5202  3 Mg 3.25-3.37, 1 Cd 3.27, 8 Ho 3.51-3.57
Ho: 0.5000 0.4798 0.6740  3 Mg 3.25-3.37, 1 Cd 3.27, 8 Ho 3.51-3.57
Ho: 0.5000 0.1288 0.6287  2 Cd 3.15, 2 Mg 3.32
Ho: 0.0000 0.6288 0.8712  2 Cd 3.15, 2 Mg 3.32
Ho: 0.0000 0.9798 0.8259  3 Mg 3.25-3.37, 1 Cd 3.27, 8 Ho 3.51-3.57
Ho: 0.4999 0.1741 0.9798  3 Mg 3.25-3.37, 1 Cd 3.27, 8 Ho 3.51-3.57
Ho: 0.0000 0.3712 0.1288  2 Cd 3.15, 2 Mg 3.32
Ho: 0.0000 0.0202 0.1741  3 Mg 3.25-3.37, 1 Cd 3.27, 8 Ho 3.51-3.57
Ho: 0.9999 0.3260 0.4798  3 Mg 3.25-3.37, 1 Cd 3.27, 8 Ho 3.51-3.57
Cd: 0.0000 0.0000 0.5000  8 Ho 3.15-3.27
Cd: 0.5000 0.5000 0.0000  8 Ho 3.15-3.27
Mg: 0.4999 0.1961 0.3038  10 Ho 3.25-3.57
Mg: 0.0001 0.6961 0.1961  10 Ho 3.25-3.57
Mg: 0.5001 0.8039 0.6962  10 Ho 3.25-3.57
Mg: 0.9999 0.3039 0.8039  10 Ho 3.25-3.57



# 4
This record from Alexandria describes CsGa2CuO after structural relaxation. The functional is PBE-GGA.

Properties
Total magnetization ... 0.00 μB/f.u.
Volume ... 123.3 Å³/cell
Uncorrected energy ... -3.1007 eV/atom
Crystal system ... tetragonal

Lattice parameters (Å, degrees): 4.5580 5.9366 4.5580 90.00 90.00 90.00
Last column: nearest neighbours and their distance in Å.
Atoms (fractional coordinates):
O: 0.0000 0.0000 0.0000  4 Ga 2.28
Ga: 0.5000 0.0000 0.0000  2 O 2.28
Ga: 0.0000 0.0000 0.5000  2 O 2.28
Cu: 0.5000 0.5000 0.5000  4 Cs 3.22
Cs: 0.0000 0.5000 0.0000  2 O 2.97, 4 Cu 3.22



# 5
This record from Alexandria describes SrTmCu2Si2 after structural relaxation. The functional is PBE-GGA.

Properties
Total magnetization ... 0.00 μB/f.u.
Volume ... 121.0 Å³/cell
Uncorrected energy ... -4.7083 eV/atom
Crystal system ... trigonal

Lattice parameters (Å, degrees): 4.2393 4.2393 7.7714 90.00 90.00 120.00
Last column: nearest neighbours and their distance in Å.
Atoms (fractional coordinates):
Si: 0.3333 0.6667 0.2903  3 Cu 2.45
Si: 0.6667 0.3333 0.7097  3 Cu 2.45
Cu: 0.6667 0.3333 0.2985  3 Si 2.45
Cu: 0.3333 0.6667 0.7015  3 Si 2.45
Sr: 0.0000 0.0000 0.0000  6 Si 3.33, 6 Cu 3.37
Tm: 0.0000 0.0000 0.5000  6 Cu 2.91, 6 Si 2.94